[1]
12
Lattice="6.723 0.000 0.000 0.000 17.934 0.000 0.000 0.000 3.443" Properties=species:S:1:pos:R:3 comment="GGA-PBE PmNd2Sm2Dy, optimized geometry" sg=Pnnm ef_ev_per_atom=0.249 dos_ef_per_ev_cell=20.03 e_tot_ev_per_atom=-4.47 pbc="T T T"
Pm 0.000 0.000 0.000
Pm 3.362 8.967 1.722
Nd 1.531 6.279 1.722
Nd 1.831 15.246 0.000
Nd 4.892 2.688 0.000
Nd 5.192 11.655 1.722
Sm 1.569 3.236 0.000
Sm 1.793 12.203 1.722
Sm 4.930 5.731 1.722
Sm 5.155 14.698 0.000
Dy 0.000 8.967 0.000
Dy 3.362 0.000 1.722



[2]
12
Lattice="8.681 0.000 0.000 0.000 4.285 0.000 -2.456 0.000 9.226" Properties=species:S:1:pos:R:3 comment="GGA-PBE LiLaScTe3, optimized geometry" sg=P2_1/m e_form_raw_ev_per_atom=-1.28 dos_ef_per_ev_cell=7.00 e_tot_ev_per_atom=-5.05 pbc="T T T"
Li 0.555 1.071 0.833
Li 5.671 3.214 8.393
La -0.115 1.071 6.821
La 6.340 3.214 2.405
Sc 2.020 3.214 3.174
Sc 4.205 1.071 6.051
Te -0.050 1.071 3.460
Te 2.077 3.214 0.131
Te 2.201 3.214 6.131
Te 4.024 1.071 3.095
Te 4.149 1.071 9.095
Te 6.276 3.214 5.766



[3]
5
Lattice="5.698 0.000 0.000 0.000 5.698 0.000 0.000 0.000 5.698" Properties=species:S:1:pos:R:3 comment="GGA-PBE BaY4, optimized geometry" sg=Pm-3m ef_ev_per_atom=0.898 dos_ef_per_ev_cell=6.73 e_tot_ev_per_atom=-4.66 e_above_lowest_polymorph_mev_per_atom=711 pbc="T T T"
Ba 0.000 0.000 0.000
Y 0.000 0.000 2.849
Y 0.000 2.849 0.000
Y 2.849 0.000 0.000
Y 2.849 2.849 2.849



[4]
16
Lattice="7.035 0.000 0.000 0.000 7.035 0.000 0.000 0.000 7.035" Properties=species:S:1:pos:R:3 comment="GGA-PBE CeTiAu2, optimized geometry" sg=Fm-3m ef_ev_per_atom=-0.370 dos_ef_per_ev_cell=28.20 e_tot_ev_per_atom=-5.47 e_above_lowest_polymorph_mev_per_atom=71 pbc="T T T"
Ce 0.000 0.000 0.000
Ce 0.000 3.518 3.518
Ce 3.518 0.000 3.518
Ce 3.518 3.518 0.000
Ti 0.000 0.000 3.518
Ti 0.000 3.518 0.000
Ti 3.518 0.000 0.000
Ti 3.518 3.518 3.518
Au 1.759 1.759 1.759
Au 1.759 1.759 5.276
Au 1.759 5.276 1.759
Au 1.759 5.276 5.276
Au 5.276 1.759 1.759
Au 5.276 1.759 5.276
Au 5.276 5.276 1.759
Au 5.276 5.276 5.276



[5]
4
Lattice="2.630 0.000 0.000 0.000 2.630 0.000 0.000 0.000 7.800" Properties=species:S:1:pos:R:3 comment="GGA-PBE ZnCrSi2, optimized geometry" sg=P4mm e_form_raw_ev_per_atom=0.27 dos_ef_per_ev_cell=3.72 e_tot_ev_per_atom=-5.16 pbc="T T T"
Zn 0.000 0.000 0.000
Cr 1.315 1.315 1.931
Si 0.000 0.000 3.631
Si 1.315 1.315 5.687



[6]
4
Lattice="4.864 0.000 0.000 0.000 4.864 0.000 0.000 0.000 4.716" Properties=species:S:1:pos:R:3 comment="GGA-PBE CeLu2Bi, optimized geometry" sg=P4/mmm ef_ev_per_atom=-0.289 dos_ef_per_ev_cell=7.43 e_tot_ev_per_atom=-5.00 e_above_lowest_polymorph_mev_per_atom=0 pbc="T T T"
Ce 0.000 0.000 0.000
Lu 0.000 2.432 2.358
Lu 2.432 0.000 2.358
Bi 2.432 2.432 0.000



[7]
8
Lattice="3.745 0.000 0.000 0.000 4.963 0.000 0.000 0.000 9.729" Properties=species:S:1:pos:R:3 comment="GGA-PBE NiSbP2, optimized geometry" sg=Immm e_form_raw_ev_per_atom=0.20 dos_ef_per_ev_cell=4.44 e_tot_ev_per_atom=-4.98 pbc="T T T"
Ni 0.000 0.000 0.000
Ni 1.872 2.482 4.864
Sb 0.000 0.000 4.864
Sb 1.872 2.482 0.000
P 0.000 2.482 3.662
P 0.000 2.482 6.067
P 1.872 0.000 1.203
P 1.872 0.000 8.526



[8]
12
Lattice="3.014 0.000 0.000 -1.507 2.610 0.000 0.000 0.000 23.962" Properties=species:S:1:pos:R:3 comment="GGA-PBE MoAs2Ir, optimized geometry" sg=R-3m ef_ev_per_atom=0.130 dos_ef_per_ev_cell=11.23 e_tot_ev_per_atom=-7.12 e_above_lowest_polymorph_mev_per_atom=173 pbc="T T T"
Mo 0.000 0.000 0.000
Mo 0.000 1.740 15.975
Mo 1.507 0.870 7.987
As 0.000 0.000 6.012
As 0.000 0.000 17.950
As 0.000 1.740 9.962
As 0.000 1.740 21.987
As 1.507 0.870 1.975
As 1.507 0.870 14.000
Ir 0.000 0.000 11.981
Ir 0.000 1.740 3.994
Ir 1.507 0.870 19.968



[9]
4
Lattice="3.189 0.000 0.000 0.000 4.547 0.000 -1.552 0.000 5.959" Properties=species:S:1:pos:R:3 comment="GGA-PBE ScAg2Pb, optimized geometry" sg=Pm ef_ev_per_atom=-0.086 dos_ef_per_ev_cell=2.44 e_tot_ev_per_atom=-4.02 pbc="T T T"
Sc 0.000 0.000 0.000
Ag 0.042 0.000 2.833
Ag 1.620 2.273 1.726
Pb 0.043 2.273 4.643



[10]
8
Lattice="4.245 0.000 0.000 0.000 4.114 0.000 0.000 0.000 12.790" Properties=species:S:1:pos:R:3 comment="GGA-PBE Y2TeAs, optimized geometry" sg=Amm2 e_form_raw_ev_per_atom=-1.24 dos_ef_per_ev_cell=4.85 e_tot_ev_per_atom=-6.42 e_above_lowest_polymorph_mev_per_atom=275 pbc="T T T"
Y 0.000 0.000 0.000
Y 0.000 2.057 6.395
Y 2.122 0.000 3.702
Y 2.122 2.057 10.097
Te 0.000 0.000 9.615
Te 0.000 2.057 3.220
As 2.122 0.000 6.515
As 2.122 2.057 0.120



[11]
6
Lattice="3.111 0.000 0.000 0.000 3.111 0.000 0.000 0.000 8.182" Properties=species:S:1:pos:R:3 comment="GGA-PBE CrNiMo, optimized geometry" sg=I4mm ef_ev_per_atom=0.210 dos_ef_per_ev_cell=6.46 e_tot_ev_per_atom=-8.54 e_above_lowest_polymorph_mev_per_atom=115 pbc="T T T"
Cr 0.000 0.000 0.000
Cr 1.556 1.556 4.091
Ni 0.000 0.000 2.740
Ni 1.556 1.556 6.831
Mo 0.000 0.000 5.445
Mo 1.556 1.556 1.354



[12]
16
Lattice="7.748 0.000 0.000 0.000 7.748 0.000 0.000 0.000 7.748" Properties=species:S:1:pos:R:3 comment="GGA-PBE AcGdMgAl, optimized geometry" sg=F-43m ef_ev_per_atom=-0.179 dos_ef_per_ev_cell=17.60 e_tot_ev_per_atom=-6.06 pbc="T T T"
Ac 0.000 0.000 0.000
Ac 0.000 3.874 3.874
Ac 3.874 0.000 3.874
Ac 3.874 3.874 0.000
Gd 0.000 0.000 3.874
Gd 0.000 3.874 0.000
Gd 3.874 0.000 0.000
Gd 3.874 3.874 3.874
Mg 1.937 1.937 5.811
Mg 1.937 5.811 1.937
Mg 5.811 1.937 1.937
Mg 5.811 5.811 5.811
Al 1.937 1.937 1.937
Al 1.937 5.811 5.811
Al 5.811 1.937 5.811
Al 5.811 5.811 1.937